{
  "formula": "KIrW2",
  "functional": "PBEsol",
  "state": "relaxed",
  "e_form_ev_per_atom": 1.75,
  "polymorph_energy_mev_per_atom": 940,
  "sg": "P4/mmm, No. 123",
  "lattice_angstrom": [[3.882, 0.000, 0.000], [0.000, 3.882, 0.000], [0.000, 0.000, 4.607]],
  "species": ["Ir", "K", "W", "W"],
  "frac_coords": [[0.500, 0.500, 0.500], [0.000, 0.000, 0.500], [0.000, 0.500, 0.000], [0.500, 0.000, 0.000]]
}



{
  "formula": "Zr2CoI2",
  "functional": "PBEsol",
  "state": "relaxed",
  "sg": "I4/mmm, No. 139",
  "total_energy_ev_per_cell": -25.50,
  "lattice_angstrom": [[-2.873, 3.454, -0.824], [-3.342, -2.988, -0.873], [1.438, -0.158, 6.983]],
  "species": ["I", "I", "Co", "Zr", "Zr"],
  "frac_coords": [[0.250, 0.750, 0.500], [0.750, 0.250, 0.500], [0.000, 0.000, 0.000], [0.394, 0.394, 0.788], [0.606, 0.606, 0.212]]
}



{
  "formula": "GaAgSe2",
  "functional": "PBEsol",
  "state": "relaxed",
  "sg": "P-4m2, No. 115",
  "total_energy_ev_per_cell": -15.88,
  "lattice_angstrom": [[3.958, 0.000, 0.000], [0.000, 3.958, 0.000], [0.000, 0.000, 6.182]],
  "species": ["Ag", "Se", "Se", "Ga"],
  "frac_coords": [[0.000, 0.000, 0.000], [0.000, 0.500, 0.269], [0.500, 0.000, 0.731], [0.500, 0.500, 0.500]]
}



{
  "formula": "MnF4",
  "functional": "PBEsol",
  "state": "relaxed",
  "sg": "P2_1/c, No. 14",
  "total_energy_ev_per_cell": -56.63,
  "lattice_angstrom": [[-3.626, 2.466, 1.226], [-2.290, -4.325, 1.925], [0.986, -1.189, 5.319]],
  "species": ["Mn", "Mn", "F", "F", "F", "F", "F", "F", "F", "F"],
  "frac_coords": [[0.000, 0.500, 0.000], [0.500, 0.000, 0.000], [0.751, 0.818, 0.859], [0.807, 0.357, 0.303], [0.249, 0.182, 0.141], [0.251, 0.682, 0.141], [0.193, 0.643, 0.697], [0.307, 0.143, 0.697], [0.749, 0.318, 0.859], [0.693, 0.857, 0.303]]
}



- Number 1 is which compound?
  KIrW2



- Which formula does entry 2 have?
  Zr2CoI2



Copy entry 3 word for word.
{
  "formula": "GaAgSe2",
  "functional": "PBEsol",
  "state": "relaxed",
  "sg": "P-4m2, No. 115",
  "total_energy_ev_per_cell": -15.88,
  "lattice_angstrom": [[3.958, 0.000, 0.000], [0.000, 3.958, 0.000], [0.000, 0.000, 6.182]],
  "species": ["Ag", "Se", "Se", "Ga"],
  "frac_coords": [[0.000, 0.000, 0.000], [0.000, 0.500, 0.269], [0.500, 0.000, 0.731], [0.500, 0.500, 0.500]]
}



Please write out number 4 again, unchanged.
{
  "formula": "MnF4",
  "functional": "PBEsol",
  "state": "relaxed",
  "sg": "P2_1/c, No. 14",
  "total_energy_ev_per_cell": -56.63,
  "lattice_angstrom": [[-3.626, 2.466, 1.226], [-2.290, -4.325, 1.925], [0.986, -1.189, 5.319]],
  "species": ["Mn", "Mn", "F", "F", "F", "F", "F", "F", "F", "F"],
  "frac_coords": [[0.000, 0.500, 0.000], [0.500, 0.000, 0.000], [0.751, 0.818, 0.859], [0.807, 0.357, 0.303], [0.249, 0.182, 0.141], [0.251, 0.682, 0.141], [0.193, 0.643, 0.697], [0.307, 0.143, 0.697], [0.749, 0.318, 0.859], [0.693, 0.857, 0.303]]
}